# Nd2ZnSi3Au4 | Alexandria via LeMat-Bulk | PBE | relaxed
# Spin magnetization (μB per cell): 0.0
# Energy (eV for the cell shown): -46.217
# Formation energy without anion corrections (meV per atom): -603
data_Nd2ZnSi3Au4
_cell_length_a 4.309
_cell_length_b 4.309
_cell_length_c 10.588
_cell_angle_alpha 90.00
_cell_angle_beta 90.00
_cell_angle_gamma 90.00
_symmetry_space_group_name_H-M 'P -4 m 2'
_symmetry_Int_Tables_number 115
_symmetry_space_group_name_Hall 'P -4 -2'
loop_
_atom_site_label
_atom_site_fract_x
_atom_site_fract_y
_atom_site_fract_z
_atom_site_occupancy
Nd1 0.000 0.500 0.244 1
Zn1 0.000 0.000 0.500 1
Si1 0.000 0.500 0.864 1
Si2 0.500 0.500 0.500 1
Au1 0.000 0.000 0.000 1
Au2 0.000 0.500 0.634 1
Au3 0.500 0.500 0.000 1